Entry 1:
# Sm5Y4Sc2

An optimized crystal structure of Sm5Y4Sc2 (PBE, Alexandria via LeMat-Bulk).

Calculated values
ΔH_f (0 K): 0.0845 eV per atom
Total magnetization: 0.0 μB/f.u.
Total energy: -61.186 eV/f.u.
Space-group type: P2/m (10)
ΔE to the lowest computed polymorph: 0.000 eV/atom

```
Sm5Y4Sc2
1.0
8.750 0.000 0.000
0.000 3.514 0.000
-0.760 0.000 11.399
Sm Y Sc
5 4 2
direct
0.000 0.000 0.000
0.073 0.000 0.300
0.307 0.000 0.834
0.693 0.000 0.166
0.927 0.000 0.700
0.231 0.500 0.553
0.342 0.500 0.118
0.658 0.500 0.882
0.769 0.500 0.447
0.443 0.000 0.368
0.557 0.000 0.632
```

=====

Entry 2:
# Sr6Tl3H

An optimized crystal structure of Sr6Tl3H (PBE, Alexandria via LeMat-Bulk).

Calculated values
Total magnetization: 0.0 μB/f.u.
Total energy: -23.693 eV/f.u.
Space-group type: Cmc2_1 (36)
ΔE to the lowest computed polymorph: 0.005 eV/atom

```
Sr6Tl3H
1.0
6.614 -7.821 0.000
6.614 7.821 0.000
0.000 0.000 7.102
Sr Tl H
12 6 2
direct
0.080 0.920 0.500
0.139 0.553 0.276
0.239 0.317 0.798
0.300 0.700 0.766
0.317 0.239 0.298
0.447 0.861 0.276
0.553 0.139 0.776
0.683 0.761 0.798
0.700 0.300 0.266
0.761 0.683 0.298
0.861 0.447 0.776
0.920 0.080 0.000
0.002 0.755 0.955
0.245 0.998 0.955
0.476 0.524 0.074
0.524 0.476 0.574
0.755 0.002 0.455
0.998 0.245 0.455
0.241 0.759 0.447
0.759 0.241 0.947
```

=====

Entry 3:
# TbHfHgPt

An optimized crystal structure of TbHfHgPt (PBE, Alexandria via LeMat-Bulk).

Calculated values
ΔH_f (0 K): -0.5405 eV per atom
Total magnetization: 0.0 μB/f.u.
Total energy: -23.088 eV/f.u.
Space-group type: F-43m (216)

```
TbHfHgPt
1.0
0.000 3.507 3.507
3.507 0.000 3.507
3.507 3.507 0.000
Tb Hf Hg Pt
1 1 1 1
direct
0.000 0.000 0.000
0.500 0.500 0.500
0.750 0.750 0.750
0.250 0.250 0.250
```